Na3Nd2InS6: relaxed, PBE-GGA.

Calculated values
Total magnetization (μB per formula unit): 0.00
Crystal system: monoclinic
Theoretical density (g/cm³): 3.9
DFT total energy (eV per formula unit): -58.5

Unit cell a=6.989 b=12.112 c=7.136 alpha=90.00 beta=109.00 gamma=90.00
Space group C2/m (No. 12)
Symmetry-distinct sites (fractional):
Na 0.000 0.000 0.000 (multiplicity 2)
Na 0.000 0.336 0.000 (multiplicity 4)
Nd 0.000 0.167 0.500 (multiplicity 4)
In 0.000 0.500 0.500 (multiplicity 2)
S 0.237 0.340 0.731 (multiplicity 8)
S 0.242 0.500 0.272 (multiplicity 4)

=====

CsBP2Os: relaxed, PBE-GGA.

Calculated values
Total magnetization (μB per formula unit): 0.00
Crystal system: tetragonal
E above lowest polymorph (eV/f.u.): 0.00
ΔH_f (0 K) (meV/atom): 667
Theoretical density (g/cm³): 6.5
DFT total energy (eV per formula unit): -26.2

Unit cell a=4.827 b=4.827 c=4.310 alpha=90.00 beta=90.00 gamma=90.00
Space group P4/mmm (No. 123)
Symmetry-distinct sites (fractional):
Cs 0.000 0.000 0.000 (multiplicity 1)
B 0.500 0.500 0.000 (multiplicity 1)
P 0.000 0.500 0.500 (multiplicity 2)
Os 0.500 0.500 0.500 (multiplicity 1)

=====

FeSiTe2: relaxed, PBE-GGA.

Calculated values
Total magnetization (μB per formula unit): 1.11
Crystal system: trigonal
Theoretical density (g/cm³): 5.7
DFT total energy (eV per formula unit): -18.5

Unit cell a=3.5899 b=3.5899 c=26.3267 alpha=90.00 beta=90.00 gamma=120.00
Space group R-3m (No. 166, hexagonal axes)
Symmetry-distinct sites (fractional):
Fe 0.0000 0.0000 0.0000 (multiplicity 3)
Si 0.0000 0.0000 0.5000 (multiplicity 3)
Te 0.0000 0.0000 0.3900 (multiplicity 6)

=====

Pa2Al3Pt: relaxed, PBE-GGA.

Calculated values
Total magnetization (μB per formula unit): 0.00
Crystal system: hexagonal
ΔH_f (0 K) (meV/atom): -629
Theoretical density (g/cm³): 10.7
DFT total energy (eV per formula unit): -40.0

Unit cell a=5.6199 b=5.6199 c=8.3729 alpha=90.00 beta=90.00 gamma=120.00
Space group P6_3/mmc (No. 194)
Symmetry-distinct sites (fractional):
Pa 0.3333 0.6667 0.0867 (multiplicity 4)
Al 0.1678 0.3356 0.7500 (multiplicity 6)
Pt 0.0000 0.0000 0.0000 (multiplicity 2)

=====

La2DyGa3Pd4: relaxed, PBE-GGA.

Calculated values
Total magnetization (μB per formula unit): 0.00
Crystal system: tetragonal
ΔH_f (0 K) (meV/atom): -820
Theoretical density (g/cm³): 8.4
DFT total energy (eV per formula unit): -52.5

Unit cell a=4.347 b=4.347 c=11.296 alpha=90.00 beta=90.00 gamma=90.00
Space group P-4m2 (No. 115)
Symmetry-distinct sites (fractional):
La 0.000 0.500 0.229 (multiplicity 2)
Dy 0.000 0.000 0.500 (multiplicity 1)
Ga 0.000 0.500 0.881 (multiplicity 2)
Ga 0.500 0.500 0.500 (multiplicity 1)
Pd 0.000 0.000 0.000 (multiplicity 1)
Pd 0.000 0.500 0.656 (multiplicity 2)
Pd 0.500 0.500 0.000 (multiplicity 1)

=====

Cs2POF5: relaxed, PBE-GGA.

Calculated values
Total magnetization (μB per formula unit): 0.08
Crystal system: tetragonal
Theoretical density (g/cm³): 3.7
DFT total energy (eV per formula unit): -45.1

Unit cell a=6.227 b=6.227 c=9.506 alpha=90.00 beta=90.00 gamma=90.00
Space group I4mm (No. 107)
Symmetry-distinct sites (fractional):
Cs 0.000 0.500 0.000 (multiplicity 4)
P 0.000 0.000 0.266 (multiplicity 2)
O 0.000 0.000 0.428 (multiplicity 2)
F 0.000 0.000 0.082 (multiplicity 2)
F 0.193 0.193 0.245 (multiplicity 8)

=====

DyGaSn: relaxed, PBE-GGA.

Calculated values
Total magnetization (μB per formula unit): 0.00
Crystal system: orthorhombic
ΔH_f (0 K) (meV/atom): -443
Theoretical density (g/cm³): 8.1
DFT total energy (eV per formula unit): -13.0

Unit cell a=5.717 b=8.203 c=6.117 alpha=90.00 beta=90.00 gamma=90.00
Space group Cmcm (No. 63)
Symmetry-distinct sites (fractional):
Dy 0.000 0.161 0.250 (multiplicity 4)
Ga 0.000 0.196 0.750 (multiplicity 4)
Sn 0.000 0.500 0.000 (multiplicity 4)

=====

Zn2ClO: relaxed, PBE-GGA.

Calculated values
Total magnetization (μB per formula unit): 0.00
Crystal system: trigonal
E above lowest polymorph (eV/f.u.): 1.36
Theoretical density (g/cm³): 4.3
DFT total energy (eV per formula unit): -12.1

Unit cell a=3.5564 b=3.5564 c=19.2254 alpha=90.00 beta=90.00 gamma=120.00
Space group P3_221 (No. 154)
Symmetry-distinct sites (fractional):
Zn 0.0039 0.3369 0.4528 (multiplicity 6)
Cl 0.0000 0.3355 0.3333 (multiplicity 3)
O 0.0000 0.3297 0.8333 (multiplicity 3)

=====

- The highest theoretical density belongs to which entry?
  Pa2Al3Pt

=====

- Number 7 is which compound?
  DyGaSn

=====

- Among the records above, which one has the lowest DFT total energy?
  Na3Nd2InS6